(1)
Compound: Sm3Ge2O
Source: the Alexandria database
Functional: PBE
Structure: optimized geometry

Cell lengths 8.6762, 4.0241, 16.9231 Å; angles 90.00, 90.00, 90.00 degrees
With the nearest neighbours (Å) after each atom.
Fractional positions:
Sm  0.0054  0.2500  0.1058  2 O 2.32
Sm  0.1363  0.2500  0.5762  1 O 2.29
Sm  0.1736  0.7500  0.2685  1 O 2.32
Sm  0.3264  0.2500  0.7685  1 O 2.32
Sm  0.3637  0.7500  0.0762  1 O 2.29
Sm  0.4946  0.7500  0.6058  2 O 2.32
Sm  0.5054  0.2500  0.3942  2 O 2.32
Sm  0.6363  0.2500  0.9238  1 O 2.29
Sm  0.6736  0.7500  0.2315  1 O 2.32
Sm  0.8264  0.2500  0.7315  1 O 2.32
Sm  0.8637  0.7500  0.4238  1 O 2.29
Sm  0.9946  0.7500  0.8942  2 O 2.32
Ge  0.0829  0.7500  0.7178  7 Sm 3.01-3.16
Ge  0.2448  0.7500  0.4568  7 Sm 3.00-3.35
Ge  0.2552  0.2500  0.9568  7 Sm 3.00-3.35
Ge  0.4171  0.2500  0.2178  7 Sm 3.01-3.16
Ge  0.5829  0.7500  0.7822  7 Sm 3.01-3.16
Ge  0.7448  0.7500  0.0432  7 Sm 3.00-3.35
Ge  0.7552  0.2500  0.5432  7 Sm 3.00-3.35
Ge  0.9171  0.2500  0.2822  7 Sm 3.01-3.16
O  0.1255  0.7500  0.1339  4 Sm 2.29-2.32
O  0.3745  0.2500  0.6339  4 Sm 2.29-2.32
O  0.6255  0.7500  0.3661  4 Sm 2.29-2.32
O  0.8745  0.2500  0.8661  4 Sm 2.29-2.32

DFT total energy = -6.198 eV per atom
DOS at the Fermi energy = 0.32 states/eV per atom
formation energy from raw total energies = -1.4726 eV per atom
relative energy among the computed polymorphs = 0.00 eV per formula unit
space group = Pnma, No. 62



(2)
Compound: Ho2PuSc6
Source: the Alexandria database
Functional: PBE
Structure: optimized geometry

Cell lengths 8.8245, 8.8245, 8.2353 Å; angles 102.85, 102.85, 21.90 degrees
With the nearest neighbours (Å) after each atom.
Fractional positions:
Ho  0.0928  0.0928  0.3357  8 Sc 3.28-3.38, 2 Pu 3.32, 2 Ho 3.35
Ho  0.9072  0.9072  0.6643  8 Sc 3.28-3.38, 2 Pu 3.32, 2 Ho 3.35
Pu  0.5000  0.5000  0.0000  6 Sc 3.27-3.36, 4 Ho 3.32, 2 Pu 3.35
Sc  0.1677  0.1677  0.9971  9 Sc 3.24-3.35, 1 Ho 3.33, 2 Pu 3.36
Sc  0.2394  0.2394  0.6667  9 Sc 3.24-3.35, 3 Ho 3.28-3.36
Sc  0.4226  0.4226  0.3277  7 Sc 3.24-3.43, 1 Pu 3.27, 4 Ho 3.30-3.38
Sc  0.5774  0.5774  0.6723  7 Sc 3.24-3.43, 1 Pu 3.27, 4 Ho 3.30-3.38
Sc  0.7606  0.7606  0.3333  9 Sc 3.24-3.35, 3 Ho 3.28-3.36
Sc  0.8323  0.8323  0.0029  9 Sc 3.24-3.35, 1 Ho 3.33, 2 Pu 3.36

DFT total energy = -6.791 eV per atom
DOS at the Fermi energy = 2.00 states/eV per atom
relative energy among the computed polymorphs = 0.00 eV per formula unit
ΔE_f = 40 meV per atom
space group = C2/m, No. 12



(3)
Compound: Cr2AgRh
Source: the Alexandria database
Functional: PBE
Structure: optimized geometry

Cell lengths 4.8601, 4.8601, 4.6488 Å; angles 106.85, 106.85, 34.34 degrees
With the nearest neighbours (Å) after each atom.
Fractional positions:
Cr  0.0000  0.0000  0.0000  2 Cr 2.49, 2 Rh 2.59, 4 Ag 2.72-2.75
Cr  0.7205  0.7205  0.2549  2 Cr 2.49, 2 Rh 2.67, 3 Ag 2.73-2.78
Ag  0.4867  0.4867  0.4962  7 Cr 2.72-2.78, 2 Ag 2.87, 3 Rh 2.87-2.88
Rh  0.2585  0.2585  0.7990  7 Cr 2.59-2.84, 2 Rh 2.87, 3 Ag 2.87-2.88

DFT total energy = -7.084 eV per atom
DOS at the Fermi energy = 0.87 states/eV per atom
ΔE_f = 278 meV per atom
space group = Cm, No. 8



(4)
Compound: Rb2GaCuCl6
Source: the Alexandria database
Functional: PBE
Structure: optimized geometry

Cell lengths 7.0359, 7.0359, 7.0359 Å; angles 114.69, 114.69, 99.48 degrees
With the nearest neighbours (Å) after each atom.
Fractional positions:
Rb  0.2500  0.7500  0.5000  12 Cl 3.53-3.80
Rb  0.7500  0.2500  0.5000  12 Cl 3.53-3.80
Ga  0.0000  0.0000  0.0000  6 Cl 2.38-2.43
Cu  0.5000  0.5000  0.0000  2 Cl 2.12
Cl  0.2213  0.2213  0.4426  1 Ga 2.38
Cl  0.2213  0.7787  0.0000  1 Ga 2.38
Cl  0.2672  0.2672  0.0000  1 Cu 2.12
Cl  0.7328  0.7328  0.0000  1 Cu 2.12
Cl  0.7787  0.2213  0.0000  1 Ga 2.38
Cl  0.7787  0.7787  0.5574  1 Ga 2.38

DFT total energy = -3.294 eV per atom
DOS at the Fermi energy = 0.00 states/eV per atom
formation energy from raw total energies = -1.2805 eV per atom
space group = I4/mmm, No. 139



(5)
Compound: Ca2HPd3
Source: the Alexandria database
Functional: PBE
Structure: optimized geometry

Cell lengths 4.2904, 4.2904, 7.3492 Å; angles 90.00, 90.00, 120.00 degrees
With the nearest neighbours (Å) after each atom.
Fractional positions:
Ca  0.0000  0.0000  0.2360  3 H 3.02, 9 Pd 3.02-3.15
Ca  0.0000  0.0000  0.7640  3 H 3.02, 9 Pd 3.02-3.15
H  0.3333  0.6667  0.0000  3 Pd 2.48
Pd  0.3333  0.6667  0.5000  3 Pd 2.48
Pd  0.6667  0.3333  0.0000  3 H 2.48
Pd  0.6667  0.3333  0.5000  3 Pd 2.48

DFT total energy = -4.141 eV per atom
DOS at the Fermi energy = 0.39 states/eV per atom
space group = P-6m2, No. 187



(6)
Compound: Th2ScBe
Source: the Alexandria database
Functional: PBE
Structure: optimized geometry

Cell lengths 11.5934, 11.5934, 11.5934 Å; angles 16.57, 16.57, 16.57 degrees
With the nearest neighbours (Å) after each atom.
Fractional positions:
Th  0.0847  0.0847  0.0847  1 Be 2.90
Th  0.9153  0.9153  0.9153  1 Be 2.90
Sc  0.5000  0.5000  0.5000  6 Sc 3.34, 6 Th 3.41
Be  0.0000  0.0000  0.0000  2 Th 2.90

DFT total energy = -5.508 eV per atom
DOS at the Fermi energy = 1.17 states/eV per atom
relative energy among the computed polymorphs = 2.22 eV per formula unit
ΔE_f = 716 meV per atom
space group = R-3m, No. 166



(7)
Compound: KReSb2
Source: the Alexandria database
Functional: PBE
Structure: optimized geometry

Cell lengths 4.9653, 4.9653, 4.9653 Å; angles 60.00, 60.00, 60.00 degrees
With the nearest neighbours (Å) after each atom.
Fractional positions:
K  0.0000  0.0000  0.0000  8 Sb 3.04
Re  0.5000  0.5000  0.5000  8 Sb 3.04
Sb  0.2500  0.2500  0.2500  4 Re 3.04, 4 K 3.04
Sb  0.7500  0.7500  0.7500  4 K 3.04, 4 Re 3.04

DFT total energy = -4.809 eV per atom
DOS at the Fermi energy = 0.47 states/eV per atom
formation energy from raw total energies = 0.6382 eV per atom
relative energy among the computed polymorphs = 2.32 eV per formula unit
space group = Fm-3m, No. 225



(8)
Compound: TlP2PbCl
Source: the Alexandria database
Functional: PBE
Structure: optimized geometry

Cell lengths 5.2601, 5.2601, 5.7684 Å; angles 90.00, 90.00, 90.00 degrees
With the nearest neighbours (Å) after each atom.
Fractional positions:
Tl  0.0000  0.0000  0.0000  4 P 2.63, 2 Cl 2.88
P  0.0000  0.5000  0.0000  2 Tl 2.63
P  0.5000  0.0000  0.0000  2 Tl 2.63
Pb  0.5000  0.5000  0.5000  4 Cl 3.72, 8 P 3.90
Cl  0.0000  0.0000  0.5000  2 Tl 2.88

DFT total energy = -3.120 eV per atom
DOS at the Fermi energy = 1.03 states/eV per atom
formation energy from raw total energies = 0.6280 eV per atom
relative energy among the computed polymorphs = 0.32 eV per formula unit
space group = P4/mmm, No. 123



(9)
Compound: MnIrSe
Source: the Alexandria database
Functional: PBE
Structure: optimized geometry

Cell lengths 3.0378, 3.0378, 5.9413 Å; angles 90.00, 90.00, 120.00 degrees
With the nearest neighbours (Å) after each atom.
Fractional positions:
Mn  0.0000  0.0000  0.0000  3 Se 2.48, 3 Ir 2.55
Ir  0.3333  0.6667  0.6884  3 Mn 2.55
Se  0.6667  0.3333  0.2950  3 Mn 2.48

DFT total energy = -6.976 eV per atom
DOS at the Fermi energy = 0.57 states/eV per atom
formation energy from raw total energies = 0.1956 eV per atom
relative energy among the computed polymorphs = 0.39 eV per formula unit
space group = P3m1, No. 156



(10)
Compound: Pd3RhSe
Source: the Alexandria database
Functional: PBE
Structure: optimized geometry

Cell lengths 4.8079, 4.8079, 4.8079 Å; angles 90.00, 90.00, 90.00 degrees
With the nearest neighbours (Å) after each atom.
Fractional positions:
Pd  0.0000  0.0000  0.5000  2 Rh 2.40
Pd  0.0000  0.5000  0.0000  2 Rh 2.40
Pd  0.5000  0.0000  0.0000  2 Rh 2.40
Rh  0.0000  0.0000  0.0000  6 Pd 2.40
Se  0.5000  0.5000  0.5000  12 Pd 3.40

DFT total energy = -4.166 eV per atom
DOS at the Fermi energy = 1.40 states/eV per atom
formation energy from raw total energies = 1.1165 eV per atom
relative energy among the computed polymorphs = 2.72 eV per formula unit
space group = Pm-3m, No. 221



(11)
Compound: La2Si7Ni12
Source: the Alexandria database
Functional: PBE
Structure: optimized geometry

Cell lengths 9.2754, 9.2754, 3.7937 Å; angles 90.00, 90.00, 120.00 degrees
With the nearest neighbours (Å) after each atom.
Fractional positions:
La  0.0000  0.0000  0.0000  6 Si 3.07, 12 Ni 3.11-3.19
La  0.3333  0.6667  0.5000  9 Ni 3.02-3.26, 6 Si 3.07
Si  0.0471  0.6022  0.0000  7 Ni 2.28-2.52
Si  0.2728  0.0280  0.5000  7 Ni 2.32-2.46
Si  0.3978  0.4449  0.0000  7 Ni 2.28-2.52
Si  0.5551  0.9529  0.0000  7 Ni 2.28-2.52
Si  0.6667  0.3333  0.0000  9 Ni 2.22-2.48
Si  0.7553  0.7272  0.5000  7 Ni 2.32-2.46
Si  0.9720  0.2447  0.5000  7 Ni 2.32-2.46
Ni  0.0312  0.7510  0.5000  4 Si 2.39-2.46, 3 Ni 2.60-2.64
Ni  0.1184  0.3869  0.0000  4 Si 2.32-2.40, 1 Ni 2.54
Ni  0.2490  0.2802  0.5000  4 Si 2.39-2.46, 3 Ni 2.60-2.64
Ni  0.2685  0.8816  0.0000  4 Si 2.32-2.40, 1 Ni 2.54
Ni  0.3905  0.1950  0.0000  4 Si 2.22-2.34
Ni  0.5628  0.1353  0.5000  5 Si 2.36-2.52, 1 Ni 2.60
Ni  0.5725  0.4372  0.5000  5 Si 2.36-2.52, 1 Ni 2.60
Ni  0.6131  0.7315  0.0000  4 Si 2.32-2.40, 1 Ni 2.54
Ni  0.7198  0.9688  0.5000  4 Si 2.39-2.46, 3 Ni 2.60-2.64
Ni  0.8050  0.1955  0.0000  4 Si 2.22-2.34
Ni  0.8045  0.6095  0.0000  4 Si 2.22-2.34
Ni  0.8647  0.4275  0.5000  5 Si 2.36-2.52, 1 Ni 2.60

DFT total energy = -6.206 eV per atom
DOS at the Fermi energy = 0.58 states/eV per atom
formation energy from raw total energies = -0.6253 eV per atom
space group = P-6, No. 174



(12)
Compound: Tb3CdCo
Source: the Alexandria database
Functional: PBE
Structure: optimized geometry

Cell lengths 8.4581, 3.7428, 8.9528 Å; angles 90.00, 113.83, 90.00 degrees
With the nearest neighbours (Å) after each atom.
Fractional positions:
Tb  0.0194  0.2500  0.1765  2 Cd 3.17, 1 Co 3.19, 2 Tb 3.45
Tb  0.2310  0.7500  0.5470  3 Co 2.78-3.01
Tb  0.3743  0.7500  0.2085  3 Co 2.74-2.91
Tb  0.6257  0.2500  0.7915  3 Co 2.74-2.91
Tb  0.7690  0.2500  0.4530  3 Co 2.78-3.01
Tb  0.9806  0.7500  0.8235  2 Cd 3.17, 1 Co 3.19, 2 Tb 3.45
Cd  0.3049  0.2500  0.8882  7 Tb 3.16-3.42
Cd  0.6951  0.7500  0.1118  7 Tb 3.16-3.42
Co  0.4085  0.2500  0.4432  2 Co 2.38
Co  0.5915  0.7500  0.5568  2 Co 2.38

DFT total energy = -4.568 eV per atom
DOS at the Fermi energy = 1.04 states/eV per atom
relative energy among the computed polymorphs = 0.04 eV per formula unit
ΔE_f = -186 meV per atom
space group = P2_1/m, No. 11



(13)
Compound: Li2B2AsRh5
Source: the Alexandria database
Functional: PBE
Structure: optimized geometry

Cell lengths 9.3502, 9.3502, 2.8725 Å; angles 90.00, 90.00, 90.00 degrees
With the nearest neighbours (Å) after each atom.
Fractional positions:
Li  0.1727  0.3273  0.0000  3 B 2.68-2.81, 10 Rh 2.70-2.92, 2 Li 2.87
Li  0.3273  0.8273  0.0000  3 B 2.68-2.81, 10 Rh 2.70-2.92, 2 Li 2.87
Li  0.6727  0.1727  0.0000  3 B 2.68-2.81, 10 Rh 2.70-2.92, 2 Li 2.87
Li  0.8273  0.6727  0.0000  3 B 2.68-2.81, 10 Rh 2.70-2.92, 2 Li 2.87
B  0.1244  0.6244  0.0000  6 Rh 2.15-2.18
B  0.3756  0.1244  0.0000  6 Rh 2.15-2.18
B  0.6244  0.8756  0.0000  6 Rh 2.15-2.18
B  0.8756  0.3756  0.0000  6 Rh 2.15-2.18
As  0.0000  0.0000  0.0000  8 Rh 2.54
As  0.5000  0.5000  0.0000  8 Rh 2.54
Rh  0.0000  0.5000  0.5000  4 B 2.18
Rh  0.0729  0.7881  0.5000  2 B 2.15
Rh  0.2119  0.0729  0.5000  2 B 2.15
Rh  0.2881  0.5729  0.5000  2 B 2.15
Rh  0.4271  0.2881  0.5000  2 B 2.15
Rh  0.5000  0.0000  0.5000  4 B 2.18
Rh  0.5729  0.7119  0.5000  2 B 2.15
Rh  0.7119  0.4271  0.5000  2 B 2.15
Rh  0.7881  0.9271  0.5000  2 B 2.15
Rh  0.9271  0.2119  0.5000  2 B 2.15

DFT total energy = -6.348 eV per atom
DOS at the Fermi energy = 0.21 states/eV per atom
ΔE_f = -489 meV per atom
space group = P4/mbm, No. 127



(14)
Compound: IrBr3F
Source: the Alexandria database
Functional: PBE
Structure: optimized geometry

Cell lengths 4.8529, 4.8529, 4.8529 Å; angles 90.00, 90.00, 90.00 degrees
With the nearest neighbours (Å) after each atom.
Fractional positions:
Ir  0.0000  0.0000  0.0000  12 Br 3.43
Br  0.0000  0.5000  0.5000  2 F 2.43
Br  0.5000  0.0000  0.5000  2 F 2.43
Br  0.5000  0.5000  0.0000  2 F 2.43
F  0.5000  0.5000  0.5000  6 Br 2.43

DFT total energy = -1.912 eV per atom
DOS at the Fermi energy = 1.51 states/eV per atom
formation energy from raw total energies = 1.2384 eV per atom
relative energy among the computed polymorphs = 7.01 eV per formula unit
space group = Pm-3m, No. 221